(1)
A plane-wave DFT calculation with GGA-PBE was carried out for a geometry-optimized ScReTe2 structure.

Calculated values
uncorrected formation energy	-0.217	eV/atom
total magnetization	0.005	μB per atom
volume	107.0	Å³ per cell
E	-0.2382	hartree per atom
calculated density	7.6	g/cm³

a b c (Å): 7.3322 7.3322 7.3322
angles (deg): 151.57 145.12 45.59
Element x y z (fractional)
Re 0.7500 0.2500 0.5000
Sc 0.2500 0.7500 0.5000
Te 0.9016 0.9016 0.0000
Te 0.5984 0.5984 0.0000

---

(2)
A plane-wave DFT calculation with GGA-PBE was carried out for a geometry-optimized Sc2ReTe structure.

Calculated values
uncorrected formation energy	0.082	eV/atom
total magnetization	0.000	μB per atom
volume	93.2	Å³ per cell
E	-0.2566	hartree per atom
calculated density	7.2	g/cm³

a b c (Å): 9.9126 9.9126 9.9126
angles (deg): 19.32 19.32 19.32
Element x y z (fractional)
Sc 0.8986 0.8986 0.8986
Sc 0.1014 0.1014 0.1014
Re 0.5000 0.5000 0.5000
Te 0.0000 0.0000 0.0000

---

(3)
A plane-wave DFT calculation with GGA-PBE was carried out for a geometry-optimized ScReTe2 structure.

Calculated values
uncorrected formation energy	-0.080	eV/atom
total magnetization	0.000	μB per atom
volume	84.1	Å³ per cell
E	-0.2332	hartree per atom
calculated density	9.6	g/cm³

a b c (Å): 5.1465 5.1465 5.0993
angles (deg): 77.53 77.53 39.76
Element x y z (fractional)
Re 0.4839 0.4839 0.5278
Sc 0.2604 0.2604 0.1980
Te 0.9962 0.9962 0.0855
Te 0.7596 0.7596 0.6887

---

(4)
A plane-wave DFT calculation with GGA-PBE was carried out for a geometry-optimized ScRe2Te structure.

Calculated values
uncorrected formation energy	0.601	eV/atom
total magnetization	0.000	μB per atom
volume	72.7	Å³ per cell
E	-0.2937	hartree per atom
calculated density	12.4	g/cm³

a b c (Å): 8.9151 8.9151 8.9151
angles (deg): 20.03 20.03 20.03
Element x y z (fractional)
Re 0.9975 0.9975 0.9975
Re 0.5025 0.5025 0.5025
Sc 0.7500 0.7500 0.7500
Te 0.2500 0.2500 0.2500

---

(5)
A plane-wave DFT calculation with GGA-PBE was carried out for a geometry-optimized ScRe4Te structure.

Calculated values
uncorrected formation energy	0.292	eV/atom
total magnetization	0.000	μB per atom
volume	106.5	Å³ per cell
E	-0.3523	hartree per atom
calculated density	14.3	g/cm³

a b c (Å): 5.3200 5.3200 5.3200
angles (deg): 60.00 60.00 60.00
Element x y z (fractional)
Sc 0.7500 0.7500 0.7500
Re 0.3747 0.8758 0.3747
Re 0.8758 0.3747 0.3747
Re 0.3747 0.3747 0.8758
Re 0.3747 0.3747 0.3747
Te 0.0000 0.0000 0.0000

---

(6)
A plane-wave DFT calculation with GGA-PBE was carried out for a geometry-optimized Sc2ReTe structure.

Calculated values
uncorrected formation energy	0.040	eV/atom
total magnetization	0.236	μB per atom
volume	84.9	Å³ per cell
E	-0.2581	hartree per atom
calculated density	7.9	g/cm³

a b c (Å): 3.2999 3.2999 7.7977
angles (deg): 90.00 90.00 90.00
Element x y z (fractional)
Re 0.5000 0.5000 0.7318
Sc 0.0000 0.0000 0.9553
Sc 0.5000 0.5000 0.2677
Te 0.0000 0.0000 0.5453

---

Please write out number 2 again, unchanged.
A plane-wave DFT calculation with GGA-PBE was carried out for a geometry-optimized Sc2ReTe structure.

Calculated values
uncorrected formation energy	0.082	eV/atom
total magnetization	0.000	μB per atom
volume	93.2	Å³ per cell
E	-0.2566	hartree per atom
calculated density	7.2	g/cm³

a b c (Å): 9.9126 9.9126 9.9126
angles (deg): 19.32 19.32 19.32
Element x y z (fractional)
Sc 0.8986 0.8986 0.8986
Sc 0.1014 0.1014 0.1014
Re 0.5000 0.5000 0.5000
Te 0.0000 0.0000 0.0000